The following is a PBE calculation of a geometry-optimized Zn2InRe structure, from the Alexandria database.

## Properties
ρ	10.70	g/cm³
ΔE_f	0.379	eV per atom
Fermi-level density of states	0.521	states/eV/atom
total magnetization	0.00	μB per formula unit
calculated total energy	-16.22	eV per cell

Structure (extended XYZ):
```
4
Lattice="-2.4077 -3.3522 -2.4139 2.2951 -0.6288 -1.4160 1.1697 -3.4025 3.5583" Properties=species:S:1:pos:R:3 pbc="T T T"
In -0.3376 -2.6839 -0.6714
Zn 1.2369 -3.3440 3.4100
Zn 1.6653 -2.0742 1.2194
Re 1.3948 -4.6995 0.3998
```